Record 1
! TiIrRh2 | Alexandria via LeMat-Bulk | GGA-PBE | relaxed; values from VASP
&SYSTEM
  ibrav = 0, nat = 8, ntyp = 3
/
ATOMIC_SPECIES
Ti 47.87 Ti.upf
Ir 192.22 Ir.upf
Rh 102.91 Rh.upf
CELL_PARAMETERS angstrom
-1.881 1.881 8.959
1.881 -1.881 8.959
1.881 1.881 -8.959
ATOMIC_POSITIONS angstrom
Ti 0.000 0.000 0.000
Ti 0.000 1.881 4.480
Ir 1.881 0.000 4.480
Ir 0.000 0.000 8.959
Rh 0.941 -0.931 6.720
Rh 0.950 0.941 2.240
Rh 0.941 2.813 -2.240
Rh 0.931 0.941 11.199
! - density (g/cm³) = 11.68
! - formation energy (eV/atom) = -0.100
! - symmetry = No. 122

=====

Record 2
! Ti2IrRh | Alexandria via LeMat-Bulk | GGA-PBE | relaxed; values from VASP
&SYSTEM
  ibrav = 0, nat = 4, ntyp = 3
/
ATOMIC_SPECIES
Ti 47.87 Ti.upf
Ir 192.22 Ir.upf
Rh 102.91 Rh.upf
CELL_PARAMETERS angstrom
3.202 0.000 0.000
0.000 3.202 0.000
0.000 0.000 5.887
ATOMIC_POSITIONS angstrom
Ti 0.000 0.000 1.466
Ti 0.000 0.000 4.421
Ir 1.601 1.601 0.000
Rh 1.601 1.601 2.943
! - density (g/cm³) = 10.75
! - formation energy (eV/atom) = -0.772
! - symmetry = No. 123

=====

Record 3
! Ti6IrRh2 | Alexandria via LeMat-Bulk | GGA-PBE | relaxed; values from VASP
&SYSTEM
  ibrav = 0, nat = 9, ntyp = 3
/
ATOMIC_SPECIES
Ti 47.87 Ti.upf
Ir 192.22 Ir.upf
Rh 102.91 Rh.upf
CELL_PARAMETERS angstrom
-2.132 3.023 6.410
2.132 -3.023 6.410
2.132 3.023 -6.410
ATOMIC_POSITIONS angstrom
Ti 2.132 1.510 -2.133
Ti 0.000 1.507 0.000
Ti 2.132 1.510 2.133
Ti 0.000 1.513 4.278
Ti 0.000 4.538 0.000
Ti 0.000 1.513 8.543
Ir 2.132 0.000 0.000
Rh 2.132 0.000 4.270
Rh 0.000 3.023 2.140
! - density (g/cm³) = 6.89
! - formation energy (eV/atom) = -0.320
! - symmetry = No. 71

=====

Record 4
! Ti3IrRh2 | Alexandria via LeMat-Bulk | GGA-PBE | relaxed; values from VASP
&SYSTEM
  ibrav = 0, nat = 12, ntyp = 3
/
ATOMIC_SPECIES
Ti 47.87 Ti.upf
Ir 192.22 Ir.upf
Rh 102.91 Rh.upf
CELL_PARAMETERS angstrom
4.388 0.000 0.000
-2.194 3.800 0.000
0.000 0.000 10.863
ATOMIC_POSITIONS angstrom
Ti 0.000 0.000 2.705
Ti 0.000 0.000 8.158
Ti 0.000 2.533 4.445
Ti 0.000 2.533 9.910
Ti 2.194 1.267 0.953
Ti 2.194 1.267 6.417
Ir 0.000 2.533 1.733
Ir 2.194 1.267 9.129
Rh 0.000 0.000 0.000
Rh 0.000 0.000 5.431
Rh 0.000 2.533 7.076
Rh 2.194 1.267 3.786
! - E above lowest polymorph (meV per atom) = 3
! - density (g/cm³) = 9.93
! - formation energy (eV/atom) = -0.767
! - symmetry = No. 164

=====

Record 5
! Ti2IrRh5 | Alexandria via LeMat-Bulk | GGA-PBE | relaxed; values from VASP
&SYSTEM
  ibrav = 0, nat = 16, ntyp = 3
/
ATOMIC_SPECIES
Ti 47.87 Ti.upf
Ir 192.22 Ir.upf
Rh 102.91 Rh.upf
CELL_PARAMETERS angstrom
5.457 0.000 0.000
0.000 10.917 0.000
0.000 0.000 3.855
ATOMIC_POSITIONS angstrom
Ti 1.360 1.362 0.000
Ti 1.369 6.820 0.000
Ti 4.088 4.096 0.000
Ti 4.098 9.555 0.000
Ir 0.000 0.000 1.928
Ir 2.729 5.458 1.928
Rh 0.000 5.458 1.928
Rh 0.006 2.718 1.928
Rh 1.361 9.561 0.000
Rh 1.368 4.103 0.000
Rh 2.722 8.176 1.928
Rh 2.729 0.000 1.928
Rh 2.735 2.740 1.928
Rh 4.090 6.814 0.000
Rh 4.096 1.356 0.000
Rh 5.451 8.199 1.928
! - density (g/cm³) = 11.60
! - formation energy (eV/atom) = -0.640
! - symmetry = No. 55

=====

Record 6
! Ti2IrRh | Alexandria via LeMat-Bulk | GGA-PBE | relaxed; values from VASP
&SYSTEM
  ibrav = 0, nat = 4, ntyp = 3
/
ATOMIC_SPECIES
Ti 47.87 Ti.upf
Ir 192.22 Ir.upf
Rh 102.91 Rh.upf
CELL_PARAMETERS angstrom
4.172 0.000 0.000
0.000 4.172 0.000
0.000 0.000 3.455
ATOMIC_POSITIONS angstrom
Ti 0.000 2.086 0.000
Ti 2.086 0.000 0.000
Ir 0.000 0.000 1.727
Rh 2.086 2.086 1.727
! - density (g/cm³) = 10.79
! - formation energy (eV/atom) = -0.806
! - symmetry = No. 123

=====

Record 7
! TiIr2Rh4 | Alexandria via LeMat-Bulk | GGA-PBE | relaxed; values from VASP
&SYSTEM
  ibrav = 0, nat = 14, ntyp = 3
/
ATOMIC_SPECIES
Ti 47.87 Ti.upf
Ir 192.22 Ir.upf
Rh 102.91 Rh.upf
CELL_PARAMETERS angstrom
0.000 8.241 3.352
3.824 0.000 3.352
3.824 8.241 0.000
ATOMIC_POSITIONS angstrom
Ti 0.000 0.000 0.000
Ti 1.912 4.121 1.676
Ir 5.238 8.086 2.325
Ir 3.326 4.275 4.001
Ir 2.411 8.396 2.325
Ir 4.323 12.207 4.001
Rh 3.692 6.015 2.055
Rh 5.868 10.136 3.731
Rh 3.956 10.467 2.055
Rh 4.439 6.713 4.530
Rh 1.780 6.346 3.731
Rh 3.210 9.769 4.530
Rh 5.122 10.834 6.206
Rh 6.351 13.889 6.206
! - density (g/cm³) = 13.27
! - formation energy (eV/atom) = -0.108
! - symmetry = No. 43

=====

Record 8
! Ti2IrRh7 | Alexandria via LeMat-Bulk | GGA-PBE | relaxed; values from VASP
&SYSTEM
  ibrav = 0, nat = 10, ntyp = 3
/
ATOMIC_SPECIES
Ti 47.87 Ti.upf
Ir 192.22 Ir.upf
Rh 102.91 Rh.upf
CELL_PARAMETERS angstrom
4.067 -7.329 0.000
4.067 7.329 0.000
0.000 0.000 2.771
ATOMIC_POSITIONS angstrom
Ti 4.067 4.755 0.000
Ti 4.067 -4.755 0.000
Ir 4.067 0.000 1.386
Rh 0.000 0.000 0.000
Rh 2.223 1.391 0.000
Rh 4.067 2.753 1.386
Rh 2.223 -1.391 0.000
Rh 5.911 1.391 0.000
Rh 4.067 -2.753 1.386
Rh 5.911 -1.391 0.000
! - density (g/cm³) = 10.14
! - formation energy (eV/atom) = 0.166
! - symmetry = No. 65

=====

Record 9
! Ti3IrRh5 | Alexandria via LeMat-Bulk | GGA-PBE | relaxed; values from VASP
&SYSTEM
  ibrav = 0, nat = 18, ntyp = 3
/
ATOMIC_SPECIES
Ti 47.87 Ti.upf
Ir 192.22 Ir.upf
Rh 102.91 Rh.upf
CELL_PARAMETERS angstrom
7.487 0.000 0.000
-3.743 6.484 0.000
0.000 0.000 5.421
ATOMIC_POSITIONS angstrom
Ti -1.242 2.151 1.355
Ti -2.501 4.332 4.066
Ti 2.484 0.000 1.355
Ti 1.242 2.151 4.066
Ti 5.003 0.000 4.066
Ti 2.501 4.332 1.355
Ir 0.000 0.000 0.000
Ir 0.000 0.000 2.711
Rh -1.246 2.158 4.066
Rh -2.497 4.325 1.355
Rh 2.492 0.000 4.066
Rh 1.246 2.158 1.355
Rh 0.000 4.323 0.000
Rh 0.000 4.323 2.711
Rh 4.995 0.000 1.355
Rh 3.743 2.161 0.000
Rh 3.743 2.161 2.711
Rh 2.497 4.325 4.066
! - density (g/cm³) = 10.73
! - formation energy (eV/atom) = -0.701
! - symmetry = No. 193

=====

Record 10
! Ti11Ir9Rh4 | Alexandria via LeMat-Bulk | GGA-PBE | relaxed; values from VASP
&SYSTEM
  ibrav = 0, nat = 24, ntyp = 3
/
ATOMIC_SPECIES
Ti 47.87 Ti.upf
Ir 192.22 Ir.upf
Rh 102.91 Rh.upf
CELL_PARAMETERS angstrom
6.707 -9.197 0.000
6.707 9.197 0.000
0.000 0.000 2.945
ATOMIC_POSITIONS angstrom
Ti 0.000 0.000 0.000
Ti 3.203 3.192 0.000
Ti 6.707 5.689 0.000
Ti 2.793 0.000 0.000
Ti 6.707 2.249 0.000
Ti 3.203 -3.192 0.000
Ti 10.211 3.192 0.000
Ti 6.707 -2.249 0.000
Ti 10.621 0.000 0.000
Ti 6.707 -5.689 0.000
Ti 10.211 -3.192 0.000
Ir 1.465 1.852 1.472
Ir 5.209 4.139 1.472
Ir 1.465 -1.852 1.472
Ir 8.205 4.139 1.472
Ir 6.707 0.000 1.472
Ir 5.209 -4.139 1.472
Ir 11.949 1.852 1.472
Ir 8.205 -4.139 1.472
Ir 11.949 -1.852 1.472
Rh 4.426 1.406 1.472
Rh 4.426 -1.406 1.472
Rh 8.989 1.406 1.472
Rh 8.989 -1.406 1.472
! - density (g/cm³) = 12.20
! - formation energy (eV/atom) = -0.790
! - symmetry = No. 65

=====

Record 11
! TiIr2Rh5 | Alexandria via LeMat-Bulk | GGA-PBE | relaxed; values from VASP
&SYSTEM
  ibrav = 0, nat = 16, ntyp = 3
/
ATOMIC_SPECIES
Ti 47.87 Ti.upf
Ir 192.22 Ir.upf
Rh 102.91 Rh.upf
CELL_PARAMETERS angstrom
-3.310 3.310 5.516
3.310 -3.310 5.516
3.310 3.310 -5.516
ATOMIC_POSITIONS angstrom
Ti 0.000 0.000 2.758
Ti 0.000 0.000 8.273
Ir 4.212 0.902 0.000
Ir 0.902 2.408 0.000
Ir 2.408 0.902 5.516
Ir -0.902 2.408 5.516
Rh 0.000 0.000 0.000
Rh 4.295 -0.985 1.850
Rh 2.325 -0.985 3.666
Rh 2.325 0.985 1.850
Rh 4.295 0.985 3.666
Rh 0.000 0.000 5.516
Rh -0.985 2.325 1.850
Rh 0.985 2.325 3.666
Rh 0.985 4.295 1.850
Rh -0.985 4.295 3.666
! - density (g/cm³) = 13.01
! - formation energy (eV/atom) = 0.006
! - symmetry = No. 140

=====

Record 12
! TiIr6Rh2 | Alexandria via LeMat-Bulk | GGA-PBE | relaxed; values from VASP
&SYSTEM
  ibrav = 0, nat = 18, ntyp = 3
/
ATOMIC_SPECIES
Ti 47.87 Ti.upf
Ir 192.22 Ir.upf
Rh 102.91 Rh.upf
CELL_PARAMETERS angstrom
4.699 -3.579 0.000
4.699 3.579 0.000
-2.472 0.000 8.517
ATOMIC_POSITIONS angstrom
Ti 2.845 2.812 6.388
Ti 4.081 -2.812 2.129
Ir 1.348 0.965 0.231
Ir 2.354 1.949 3.843
Ir 0.112 -0.965 4.490
Ir 5.807 1.949 0.416
Ir 3.819 0.324 0.893
Ir 2.583 -0.324 5.151
Ir 4.343 0.324 3.366
Ir 3.107 -0.324 7.624
Ir 1.118 -1.949 8.101
Ir 6.814 0.965 4.027
Ir 4.571 -1.949 4.674
Ir 5.578 -0.965 8.286
Rh 0.606 0.363 6.776
Rh 1.842 -0.363 2.518
Rh 5.084 0.363 5.999
Rh 6.320 -0.363 1.741
! - density (g/cm³) = 16.31
! - formation energy (eV/atom) = 0.046
! - symmetry = No. 15